{
  "formula": "TmPuTe2O",
  "functional": "PBE",
  "state": "optimized geometry",
  "n_ef_per_ev_cell": 12.64,
  "final_energy_ev_per_atom": -7.8451,
  "space_group": "No. 129",
  "total_magnetization_mub_per_fu": 4.9,
  "formation_energy_uncorrected_ev_per_atom": -1.84,
  "density_g_cm3": 8.58,
  "lattice": [[4.146, 0.000, 0.000], [0.000, 4.146, 0.000], [0.000, 0.000, 15.399]],
  "species": ["Tm", "Tm", "Pu", "Pu", "Te", "Te", "Te", "Te", "O", "O"],
  "fractional_positions": [[0.250, 0.250, 0.128], [0.750, 0.750, 0.872], [0.250, 0.250, 0.571], [0.750, 0.750, 0.429], [0.250, 0.250, 0.314], [0.250, 0.250, 0.914], [0.750, 0.750, 0.086], [0.750, 0.750, 0.686], [0.250, 0.750, 0.500], [0.750, 0.250, 0.500]]
}